No. 1
This record from Alexandria describes a relaxed structure of CdC. The functional is GGA-PBE.

Properties
Fermi-level density of states, states/eV/f.u.: 1.1
Symmetry: I4_1/amd

a = 5.738 Å, b = 5.738 Å, c = 5.738 Å
α = 145.84°, β = 145.84°, γ = 49.09°
Atoms (fractional coordinates):
Cd (0.375, 0.625, 0.750)
Cd (0.625, 0.375, 0.250)
C (0.125, 0.875, 0.250)
C (0.875, 0.125, 0.750)

No. 2
This record from Alexandria describes a relaxed structure of CdC4. The functional is GGA-PBE.

Properties
Fermi-level density of states, states/eV/f.u.: 2.6
Symmetry: Im-3m

a = 4.422 Å, b = 4.422 Å, c = 4.422 Å
α = 109.47°, β = 109.47°, γ = 109.47°
Atoms (fractional coordinates):
Cd (0.000, 0.000, 0.000)
C (0.000, 0.000, 0.500)
C (0.000, 0.500, 0.000)
C (0.500, 0.000, 0.000)
C (0.500, 0.500, 0.500)

No. 3
This record from Alexandria describes a relaxed structure of CdC2. The functional is GGA-PBE.

Properties
Symmetry: Cmmm

a = 5.945 Å, b = 5.945 Å, c = 7.575 Å
α = 90.00°, β = 90.00°, γ = 105.09°
Atoms (fractional coordinates):
Cd (0.000, 0.000, 0.000)
Cd (0.354, 0.646, 0.500)
Cd (0.646, 0.354, 0.500)
C (0.025, 0.788, 0.500)
C (0.212, 0.975, 0.500)
C (0.215, 0.215, 0.500)
C (0.785, 0.785, 0.500)
C (0.788, 0.025, 0.500)
C (0.975, 0.212, 0.500)

No. 4
This record from Alexandria describes a relaxed structure of CdC. The functional is GGA-PBE.

Properties
Fermi-level density of states, states/eV/f.u.: 0.4
Symmetry: P2_1/m

a = 3.344 Å, b = 2.633 Å, c = 9.121 Å
α = 90.00°, β = 100.52°, γ = 90.00°
Atoms (fractional coordinates):
Cd (0.177, 0.250, 0.348)
Cd (0.823, 0.750, 0.652)
C (0.499, 0.750, 0.998)
C (0.501, 0.250, 0.002)

No. 5
This record from Alexandria describes a relaxed structure of Cd3C. The functional is GGA-PBE.

Properties
Fermi-level density of states, states/eV/f.u.: 3.1
Symmetry: I4/mmm

a = 7.054 Å, b = 7.054 Å, c = 7.054 Å
α = 134.95°, β = 134.95°, γ = 65.61°
Atoms (fractional coordinates):
Cd (0.000, 0.500, 0.500)
Cd (0.132, 0.132, 0.000)
Cd (0.250, 0.750, 0.500)
Cd (0.500, 0.000, 0.500)
Cd (0.750, 0.250, 0.500)
Cd (0.868, 0.868, 0.000)
C (0.446, 0.446, 0.000)
C (0.554, 0.554, 0.000)

No. 6
This record from Alexandria describes a relaxed structure of CdC2. The functional is GGA-PBE.

Properties
Fermi-level density of states, states/eV/f.u.: 0.8
Symmetry: P-6m2

a = 3.489 Å, b = 3.489 Å, c = 4.222 Å
α = 90.00°, β = 90.00°, γ = 120.00°
Atoms (fractional coordinates):
Cd (0.000, 0.000, 0.000)
C (0.667, 0.333, 0.351)
C (0.667, 0.333, 0.649)

No. 7
This record from Alexandria describes a relaxed structure of CdC. The functional is GGA-PBE.

Properties
Fermi-level density of states, states/eV/f.u.: 1.2
Symmetry: P6/mmm

a = 5.221 Å, b = 5.221 Å, c = 3.857 Å
α = 90.00°, β = 90.00°, γ = 120.00°
Atoms (fractional coordinates):
Cd (0.000, 0.000, 0.000)
Cd (0.333, 0.667, 0.500)
Cd (0.667, 0.333, 0.500)
C (0.000, 0.500, 0.000)
C (0.500, 0.000, 0.000)
C (0.500, 0.500, 0.000)

No. 8
This record from Alexandria describes a relaxed structure of CdC. The functional is GGA-PBE.

Properties
Fermi-level density of states, states/eV/f.u.: 0.5
Symmetry: P6_3/mmc

a = 5.924 Å, b = 5.924 Å, c = 5.447 Å
α = 90.00°, β = 90.00°, γ = 120.00°
Atoms (fractional coordinates):
Cd (0.000, 0.000, 0.250)
Cd (0.000, 0.000, 0.750)
Cd (0.333, 0.667, 0.250)
Cd (0.667, 0.333, 0.750)
C (0.333, 0.667, 0.635)
C (0.333, 0.667, 0.865)
C (0.667, 0.333, 0.135)
C (0.667, 0.333, 0.365)

No. 9
This record from Alexandria describes a relaxed structure of CdC2. The functional is GGA-PBE.

Properties
Fermi-level density of states, states/eV/f.u.: 2.0
Symmetry: P4/mmm

a = 2.510 Å, b = 2.510 Å, c = 5.849 Å
α = 90.00°, β = 90.00°, γ = 90.00°
Atoms (fractional coordinates):
Cd (0.000, 0.000, 0.000)
C (0.000, 0.500, 0.500)
C (0.500, 0.000, 0.500)

No. 10
This record from Alexandria describes a relaxed structure of CdC2. The functional is GGA-PBE.

Properties
Symmetry: Immm

a = 3.920 Å, b = 3.920 Å, c = 3.920 Å
α = 127.03°, β = 106.80°, γ = 96.24°
Atoms (fractional coordinates):
Cd (0.000, 0.000, 0.000)
C (0.365, 0.500, 0.865)
C (0.635, 0.500, 0.135)

No. 11
This record from Alexandria describes a relaxed structure of Cd5C. The functional is GGA-PBE.

Properties
Fermi-level density of states, states/eV/f.u.: 0.9
Symmetry: Amm2

a = 4.221 Å, b = 7.800 Å, c = 7.800 Å
α = 33.46°, β = 90.00°, γ = 90.00°
Atoms (fractional coordinates):
Cd (0.000, 0.000, 0.000)
Cd (0.000, 0.272, 0.272)
Cd (0.000, 0.643, 0.643)
Cd (0.500, 0.484, 0.484)
Cd (0.500, 0.795, 0.795)
C (0.500, 0.947, 0.947)

No. 12
This record from Alexandria describes a relaxed structure of CdC. The functional is GGA-PBE.

Properties
Fermi-level density of states, states/eV/f.u.: 1.2
Symmetry: P-62m

a = 6.079 Å, b = 6.079 Å, c = 2.950 Å
α = 90.00°, β = 90.00°, γ = 120.00°
Atoms (fractional coordinates):
Cd (0.000, 0.000, 0.000)
Cd (0.333, 0.667, 0.500)
Cd (0.667, 0.333, 0.500)
C (0.000, 0.367, 0.000)
C (0.367, 0.000, 0.000)
C (0.633, 0.633, 0.000)

No. 13
This record from Alexandria describes a relaxed structure of Cd3C. The functional is GGA-PBE.

Properties
Fermi-level density of states, states/eV/f.u.: 1.0
Symmetry: R-3m

a = 5.296 Å, b = 5.296 Å, c = 5.296 Å
α = 115.75°, β = 115.75°, γ = 115.75°
Atoms (fractional coordinates):
Cd (0.000, 0.500, 0.500)
Cd (0.500, 0.000, 0.500)
Cd (0.500, 0.500, 0.000)
C (0.000, 0.000, 0.000)

No. 14
This record from Alexandria describes a relaxed structure of Cd5C3. The functional is GGA-PBE.

Properties
Fermi-level density of states, states/eV/f.u.: 3.9
Symmetry: P6_3/mcm

a = 6.755 Å, b = 6.755 Å, c = 6.880 Å
α = 90.00°, β = 90.00°, γ = 120.00°
Atoms (fractional coordinates):
Cd (0.000, 0.260, 0.250)
Cd (0.000, 0.740, 0.750)
Cd (0.260, 0.000, 0.250)
Cd (0.260, 0.260, 0.750)
Cd (0.333, 0.667, 0.000)
Cd (0.333, 0.667, 0.500)
Cd (0.667, 0.333, 0.000)
Cd (0.667, 0.333, 0.500)
Cd (0.740, 0.000, 0.750)
Cd (0.740, 0.740, 0.250)
C (0.000, 0.387, 0.750)
C (0.000, 0.613, 0.250)
C (0.387, 0.000, 0.750)
C (0.387, 0.387, 0.250)
C (0.613, 0.000, 0.250)
C (0.613, 0.613, 0.750)

No. 15
This record from Alexandria describes a relaxed structure of CdC4. The functional is GGA-PBE.

Properties
Fermi-level density of states, states/eV/f.u.: 3.8
Symmetry: Pm-3m

a = 4.278 Å, b = 4.278 Å, c = 4.278 Å
α = 90.00°, β = 90.00°, γ = 90.00°
Atoms (fractional coordinates):
Cd (0.000, 0.000, 0.000)
C (0.000, 0.000, 0.500)
C (0.000, 0.500, 0.000)
C (0.500, 0.000, 0.000)
C (0.500, 0.500, 0.500)

No. 16
This record from Alexandria describes a relaxed structure of CdC. The functional is GGA-PBE.

Properties
Fermi-level density of states, states/eV/f.u.: 1.2
Symmetry: P4/nmm

a = 2.615 Å, b = 2.615 Å, c = 8.738 Å
α = 90.00°, β = 90.00°, γ = 90.00°
Atoms (fractional coordinates):
Cd (0.250, 0.250, 0.197)
Cd (0.750, 0.750, 0.803)
C (0.250, 0.250, 0.495)
C (0.750, 0.750, 0.505)

No. 17
This record from Alexandria describes a relaxed structure of Cd3C. The functional is GGA-PBE.

Properties
Fermi-level density of states, states/eV/f.u.: 1.2
Symmetry: Imm2

a = 5.431 Å, b = 5.431 Å, c = 5.431 Å
α = 147.01°, β = 72.46°, γ = 117.55°
Atoms (fractional coordinates):
Cd (0.000, 0.000, 0.000)
Cd (0.330, 0.514, 0.816)
Cd (0.697, 0.514, 0.184)
C (0.338, 0.838, 0.500)

No. 18
This record from Alexandria describes a relaxed structure of Cd5C4. The functional is GGA-PBE.

Properties
Fermi-level density of states, states/eV/f.u.: 4.5
Symmetry: I4/mmm

a = 6.189 Å, b = 6.189 Å, c = 6.189 Å
α = 106.29°, β = 106.29°, γ = 116.04°
Atoms (fractional coordinates):
Cd (0.000, 0.000, 0.000)
Cd (0.288, 0.288, 0.575)
Cd (0.288, 0.712, 0.000)
Cd (0.712, 0.288, 0.000)
Cd (0.712, 0.712, 0.425)
C (0.000, 0.413, 0.413)
C (0.000, 0.587, 0.587)
C (0.413, 0.000, 0.413)
C (0.587, 0.000, 0.587)

No. 19
This record from Alexandria describes a relaxed structure of CdC3. The functional is GGA-PBE.

Properties
Fermi-level density of states, states/eV/f.u.: 0.6
Symmetry: Pnma

a = 6.979 Å, b = 3.695 Å, c = 8.984 Å
α = 90.00°, β = 90.00°, γ = 90.00°
Atoms (fractional coordinates):
Cd (0.025, 0.250, 0.160)
Cd (0.475, 0.750, 0.660)
Cd (0.525, 0.250, 0.340)
Cd (0.975, 0.750, 0.840)
C (0.069, 0.059, 0.556)
C (0.069, 0.441, 0.556)
C (0.158, 0.750, 0.629)
C (0.342, 0.250, 0.129)
C (0.431, 0.559, 0.056)
C (0.431, 0.941, 0.056)
C (0.569, 0.059, 0.944)
C (0.569, 0.441, 0.944)
C (0.658, 0.750, 0.871)
C (0.842, 0.250, 0.371)
C (0.931, 0.559, 0.444)
C (0.931, 0.941, 0.444)

No. 20
This record from Alexandria describes a relaxed structure of CdC. The functional is GGA-PBE.

Properties
Fermi-level density of states, states/eV/f.u.: 0.8
Symmetry: Cm

a = 6.303 Å, b = 6.303 Å, c = 6.380 Å
α = 103.62°, β = 103.62°, γ = 24.57°
Atoms (fractional coordinates):
Cd (0.000, 0.000, 0.000)
Cd (0.266, 0.266, 0.905)
Cd (0.548, 0.548, 0.448)
C (0.298, 0.298, 0.416)
C (0.605, 0.605, 0.809)
C (0.800, 0.800, 0.416)

| no. | total DFT energy (no corrections) (eV/cell) | formation energy from the elements (eV/atom) |
| --- | --- | --- |
| 1 | -11.63 | 2.162 |
| 2 | -16.74 | 4.215 |
| 3 | -47.07 | 1.224 |
| 4 | -17.61 | 0.667 |
| 5 | -18.11 | 0.728 |
| 6 | -15.01 | 1.452 |
| 7 | -18.03 | 2.065 |
| 8 | -32.95 | 0.951 |
| 9 | -12.75 | 2.206 |
| 10 | -15.89 | 1.156 |
| 11 | -10.25 | 0.591 |
| 12 | -18.06 | 2.059 |
| 13 | -6.68 | 1.322 |
| 14 | -41.56 | 1.433 |
| 15 | -14.32 | 4.699 |
| 16 | -13.09 | 1.797 |
| 17 | -7.99 | 0.995 |
| 18 | -30.82 | 1.184 |
| 19 | -104.62 | 0.608 |
| 20 | -23.92 | 1.083 |